--- a ---
# InHg2Bi2 (PBE, optimized geometry)
# - N(E_F) (states/eV per cell) = 3.4
data_InHg2Bi2
_chemical_formula_sum 'In2 Hg4 Bi4'
_symmetry_space_group_name_H-M 'I 4/m m m'
_symmetry_Int_Tables_number 139
_symmetry_space_group_name_Hall '-I 4 2'
_cell_length_a 4.184
_cell_length_b 4.184
_cell_length_c 17.413
_cell_angle_alpha 90.00
_cell_angle_beta 90.00
_cell_angle_gamma 90.00
loop_
_atom_site_label
_atom_site_type_symbol
_atom_site_fract_x
_atom_site_fract_y
_atom_site_fract_z
In1 In 0.000 0.000 0.000
Hg1 Hg 0.000 0.500 0.250
Bi1 Bi 0.000 0.000 0.410

--- b ---
# InHg2Bi2 (PBE, optimized geometry)
# - N(E_F) (states/eV per cell) = 6.0
data_InHg2Bi2
_chemical_formula_sum 'In2 Hg4 Bi4'
_symmetry_space_group_name_H-M 'I 4/m m m'
_symmetry_Int_Tables_number 139
_symmetry_space_group_name_Hall '-I 4 2'
_cell_length_a 4.691
_cell_length_b 4.691
_cell_length_c 14.570
_cell_angle_alpha 90.00
_cell_angle_beta 90.00
_cell_angle_gamma 90.00
loop_
_atom_site_label
_atom_site_type_symbol
_atom_site_fract_x
_atom_site_fract_y
_atom_site_fract_z
In1 In 0.000 0.000 0.000
Hg1 Hg 0.000 0.000 0.404
Bi1 Bi 0.000 0.500 0.250

Relative energies, unit kJ/mol of atoms: a 0.0; b 2.7